(1)
MnCdGeBr2 | PBE-GGA | relaxed

Calculated values
The formation energy (no corrections) comes out at 0.19 eV/atom.

Structure (CIF):
```
data_MnCdGeBr2
_cell_length_a 5.574
_cell_length_b 5.574
_cell_length_c 4.950
_cell_angle_alpha 90.00
_cell_angle_beta 90.00
_cell_angle_gamma 90.00
_symmetry_space_group_name_H-M 'P 4/m m m'
_symmetry_Int_Tables_number 123
_symmetry_space_group_name_Hall '-P 4 2'
loop_
_atom_site_label
_atom_site_type_symbol
_atom_site_fract_x
_atom_site_fract_y
_atom_site_fract_z
Mn1 Mn 0.000 0.000 0.000
Cd1 Cd 0.500 0.500 0.000
Ge1 Ge 0.000 0.000 0.500
Br1 Br 0.000 0.500 0.500
```

(2)
BaSrAlV2 | PBE-GGA | relaxed

Structure (CIF):
```
data_BaSrAlV2
_cell_length_a 5.241
_cell_length_b 5.241
_cell_length_c 5.875
_cell_angle_alpha 90.00
_cell_angle_beta 90.00
_cell_angle_gamma 90.00
_symmetry_space_group_name_H-M 'P 4/m m m'
_symmetry_Int_Tables_number 123
_symmetry_space_group_name_Hall '-P 4 2'
loop_
_atom_site_label
_atom_site_type_symbol
_atom_site_fract_x
_atom_site_fract_y
_atom_site_fract_z
Ba1 Ba 0.000 0.000 0.000
Sr1 Sr 0.500 0.500 0.000
Al1 Al 0.500 0.500 0.500
V1 V 0.000 0.500 0.500
```

(3)
ReBi2HN | PBE-GGA | relaxed

Structure (CIF):
```
data_ReBi2HN
_cell_length_a 5.506
_cell_length_b 5.506
_cell_length_c 3.714
_cell_angle_alpha 90.00
_cell_angle_beta 90.00
_cell_angle_gamma 90.00
_symmetry_space_group_name_H-M 'P 4/m m m'
_symmetry_Int_Tables_number 123
_symmetry_space_group_name_Hall '-P 4 2'
loop_
_atom_site_label
_atom_site_type_symbol
_atom_site_fract_x
_atom_site_fract_y
_atom_site_fract_z
Re1 Re 0.000 0.000 0.000
Bi1 Bi 0.000 0.500 0.000
H1 H 0.500 0.500 0.500
N1 N 0.000 0.000 0.500
```

(4)
Tm5AgSe8 | PBE-GGA | relaxed

Calculated values
The formation energy (no corrections) comes out at -1.64 eV/atom.

Structure (CIF):
```
data_Tm5AgSe8
_cell_length_a 11.725
_cell_length_b 11.725
_cell_length_c 11.725
_cell_angle_alpha 90.00
_cell_angle_beta 90.00
_cell_angle_gamma 90.00
_symmetry_space_group_name_H-M 'F -4 3 m'
_symmetry_Int_Tables_number 216
_symmetry_space_group_name_Hall 'F -4 2 3'
loop_
_atom_site_label
_atom_site_type_symbol
_atom_site_fract_x
_atom_site_fract_y
_atom_site_fract_z
Tm1 Tm 0.000 0.000 0.000
Tm2 Tm 0.120 0.120 0.380
Ag1 Ag 0.250 0.250 0.750
Se1 Se 0.118 0.118 0.618
Se2 Se 0.133 0.133 0.133
```

(5)
Pr2Ho3ErS6 | PBE-GGA | relaxed

Calculated values
The formation energy (no corrections) comes out at -1.98 eV/atom.

Structure (CIF):
```
data_Pr2Ho3ErS6
_cell_length_a 17.260
_cell_length_b 3.929
_cell_length_c 7.984
_cell_angle_alpha 90.00
_cell_angle_beta 103.81
_cell_angle_gamma 90.00
_symmetry_space_group_name_H-M 'C 1 2/m 1'
_symmetry_Int_Tables_number 12
loop_
_symmetry_equiv_pos_as_xyz
'x,y,z'
'-x,-y,-z'
'-x,y,-z'
'x,-y,z'
'x+1/2,y+1/2,z'
'-x+1/2,-y+1/2,-z'
'-x+1/2,y+1/2,-z'
'x+1/2,-y+1/2,z'
loop_
_atom_site_label
_atom_site_type_symbol
_atom_site_fract_x
_atom_site_fract_y
_atom_site_fract_z
Pr1 Pr 0.168 0.000 0.336
Ho1 Ho 0.000 0.500 0.500
Ho2 Ho 0.170 0.000 0.834
Er1 Er 0.000 0.500 0.000
S1 S 0.005 0.000 0.755
S2 S 0.162 0.500 0.595
S3 S 0.165 0.500 0.069
```

no.,final energy (eV/cell)
1,-17.1
2,-21.3
3,-28.0
4,-304.0
5,-152.8